First-principles (PBE) data for crystalline Pm12Er6Al at its relaxed geometry, as listed in the Alexandria database.

Total energy   -4.555 eV/atom
E_form   0.083 eV/atom

Lattice parameters (Å, degrees): 8.545 8.545 8.545 88.71 88.71 88.71
Fractional coordinates of all 19 atoms:
Pm  0.037  0.934  0.286
Pm  0.066  0.714  0.963
Pm  0.138  0.482  0.325
Pm  0.286  0.037  0.934
Pm  0.325  0.138  0.482
Pm  0.482  0.325  0.138
Pm  0.518  0.675  0.862
Pm  0.675  0.862  0.518
Pm  0.714  0.963  0.066
Pm  0.862  0.518  0.675
Pm  0.934  0.286  0.037
Pm  0.963  0.066  0.714
Er  0.222  0.756  0.600
Er  0.244  0.400  0.778
Er  0.400  0.778  0.244
Er  0.600  0.222  0.756
Er  0.756  0.600  0.222
Er  0.778  0.244  0.400
Al  0.500  0.500  0.500

---

First-principles (PBE) data for crystalline Pm2ErAl9 at its relaxed geometry, as listed in the Alexandria database.

Total energy   -4.326 eV/atom
E_form   -0.347 eV/atom

Lattice parameters (Å, degrees): 9.382 9.382 9.382 34.88 34.88 34.88
Fractional coordinates of all 12 atoms:
Pm  0.142  0.142  0.142
Pm  0.858  0.858  0.858
Er  0.000  0.000  0.000
Al  0.075  0.586  0.586
Al  0.335  0.335  0.335
Al  0.414  0.414  0.925
Al  0.414  0.925  0.414
Al  0.500  0.500  0.500
Al  0.586  0.075  0.586
Al  0.586  0.586  0.075
Al  0.665  0.665  0.665
Al  0.925  0.414  0.414

---

First-principles (PBE) data for crystalline Pm3Er2Al3 at its relaxed geometry, as listed in the Alexandria database.

Total energy   -4.557 eV/atom
Energy above the lowest structure with this stoichiometry   0.048 eV/atom
E_form   -0.231 eV/atom

Lattice parameters (Å, degrees): 8.547 8.547 3.302 90.00 90.00 120.00
Fractional coordinates of all 8 atoms:
Pm  0.000  0.756  0.000
Pm  0.244  0.244  0.000
Pm  0.756  0.000  0.000
Er  0.333  0.667  0.000
Er  0.667  0.333  0.000
Al  0.000  0.388  0.500
Al  0.388  0.000  0.500
Al  0.612  0.612  0.500

---

First-principles (PBE) data for crystalline PmEr7Al5 at its relaxed geometry, as listed in the Alexandria database.

Total energy   -4.494 eV/atom
E_form   -0.232 eV/atom

Lattice parameters (Å, degrees): 7.978 7.978 7.978 135.30 100.76 95.88
Fractional coordinates of all 13 atoms:
Pm  0.000  0.000  0.000
Er  0.200  0.506  0.695
Er  0.242  0.742  0.500
Er  0.349  0.349  0.000
Er  0.358  0.020  0.339
Er  0.671  0.671  0.000
Er  0.681  0.020  0.661
Er  0.811  0.506  0.305
Al  0.008  0.015  0.490
Al  0.008  0.517  0.992
Al  0.525  0.015  0.008
Al  0.525  0.517  0.510
Al  0.774  0.274  0.500

---

First-principles (PBE) data for crystalline Pm5ErAl4 at its relaxed geometry, as listed in the Alexandria database.

Total energy   -4.602 eV/atom
E_form   -0.273 eV/atom

Lattice parameters (Å, degrees): 3.676 3.676 19.937 90.00 90.00 90.00
Fractional coordinates of all 10 atoms:
Pm  0.000  0.000  0.000
Pm  0.000  0.000  0.188
Pm  0.000  0.000  0.375
Pm  0.000  0.000  0.625
Pm  0.000  0.000  0.812
Er  0.500  0.500  0.500
Al  0.500  0.500  0.094
Al  0.500  0.500  0.283
Al  0.500  0.500  0.717
Al  0.500  0.500  0.906

---

First-principles (PBE) data for crystalline Pm2Er8Al at its relaxed geometry, as listed in the Alexandria database.

Total energy   -4.558 eV/atom
E_form   -0.036 eV/atom

Lattice parameters (Å, degrees): 9.942 9.942 6.400 94.03 94.03 31.74
Fractional coordinates of all 11 atoms:
Pm  0.243  0.243  0.332
Pm  0.757  0.757  0.668
Er  0.042  0.042  0.255
Er  0.153  0.153  0.815
Er  0.344  0.344  0.877
Er  0.423  0.423  0.396
Er  0.577  0.577  0.604
Er  0.656  0.656  0.123
Er  0.847  0.847  0.185
Er  0.958  0.958  0.745
Al  0.500  0.500  0.000

---

First-principles (PBE) data for crystalline Pm5ErAl6 at its relaxed geometry, as listed in the Alexandria database.

Total energy   -4.603 eV/atom
E_form   -0.372 eV/atom

Lattice parameters (Å, degrees): 9.009 9.009 9.009 146.41 131.90 59.94
Fractional coordinates of all 12 atoms:
Pm  0.000  0.000  0.000
Pm  0.164  0.664  0.500
Pm  0.328  0.328  0.000
Pm  0.672  0.672  0.000
Pm  0.836  0.336  0.500
Er  0.500  0.000  0.500
Al  0.095  0.837  0.258
Al  0.266  0.500  0.766
Al  0.422  0.163  0.258
Al  0.578  0.837  0.742
Al  0.734  0.500  0.234
Al  0.905  0.163  0.742

---

First-principles (PBE) data for crystalline Pm4ErAl5 at its relaxed geometry, as listed in the Alexandria database.

Total energy   -4.602 eV/atom
E_form   -0.374 eV/atom

Lattice parameters (Å, degrees): 3.671 3.671 18.398 90.00 90.00 90.00
Fractional coordinates of all 10 atoms:
Pm  0.000  0.000  0.102
Pm  0.000  0.000  0.305
Pm  0.000  0.000  0.695
Pm  0.000  0.000  0.898
Er  0.000  0.000  0.500
Al  0.500  0.500  0.000
Al  0.500  0.500  0.203
Al  0.500  0.500  0.409
Al  0.500  0.500  0.591
Al  0.500  0.500  0.797

---

First-principles (PBE) data for crystalline Pm6Er2Al at its relaxed geometry, as listed in the Alexandria database.

Total energy   -4.524 eV/atom
E_form   0.073 eV/atom

Lattice parameters (Å, degrees): 9.910 9.910 3.555 95.05 95.05 56.96
Fractional coordinates of all 9 atoms:
Pm  0.166  0.506  0.534
Pm  0.211  0.789  0.000
Pm  0.494  0.834  0.466
Pm  0.506  0.166  0.534
Pm  0.789  0.211  0.000
Pm  0.834  0.494  0.466
Er  0.177  0.177  0.940
Er  0.823  0.823  0.060
Al  0.500  0.500  0.500

---

First-principles (PBE) data for crystalline Pm5ErAl2 at its relaxed geometry, as listed in the Alexandria database.

Total energy   -4.535 eV/atom
Energy above the lowest structure with this stoichiometry   0.000 eV/atom
E_form   -0.060 eV/atom

Lattice parameters (Å, degrees): 8.309 8.309 8.309 154.80 100.06 85.44
Fractional coordinates of all 8 atoms:
Pm  0.000  0.000  0.000
Pm  0.077  0.359  0.719
Pm  0.360  0.641  0.719
Pm  0.640  0.359  0.281
Pm  0.923  0.641  0.281
Er  0.500  0.000  0.500
Al  0.278  0.278  0.000
Al  0.722  0.722  0.000

---

- Look up the E_form of the sixth one.
  -0.036 eV/atom